# CdAg2P | Alexandria via LeMat-Bulk | GGA-PBE | relaxed
data_CdAg2P
_chemical_formula_sum 'Cd1 Ag2 P1'
_cell_length_a 4.7322
_cell_length_b 4.7322
_cell_length_c 4.7322
_cell_angle_alpha 60.00
_cell_angle_beta 60.00
_cell_angle_gamma 60.00
_symmetry_space_group_name_H-M 'P 1'
_symmetry_Int_Tables_number 1
_symmetry_space_group_name_Hall 'P 1'
loop_
_atom_site_label
_atom_site_type_symbol
_atom_site_fract_x
_atom_site_fract_y
_atom_site_fract_z
_atom_site_occupancy
Cd1 Cd 0.0000 0.0000 0.0000 1
Ag1 Ag 0.2500 0.2500 0.2500 1
Ag2 Ag 0.5000 0.5000 0.5000 1
P1 P 0.7500 0.7500 0.7500 1
# Space group: F-43m
# VASP energy, eV/atom: -2.7507

# Mn2NiRu | Alexandria via LeMat-Bulk | GGA-PBE | relaxed
data_Mn2NiRu
_chemical_formula_sum 'Mn2 Ni1 Ru1'
_cell_length_a 8.4453
_cell_length_b 8.4453
_cell_length_c 8.4453
_cell_angle_alpha 17.56
_cell_angle_beta 17.56
_cell_angle_gamma 17.56
_symmetry_space_group_name_H-M 'P 1'
_symmetry_Int_Tables_number 1
_symmetry_space_group_name_Hall 'P 1'
loop_
_atom_site_label
_atom_site_type_symbol
_atom_site_fract_x
_atom_site_fract_y
_atom_site_fract_z
_atom_site_occupancy
Mn1 Mn 0.2485 0.2485 0.2485 1
Mn2 Mn 0.7515 0.7515 0.7515 1
Ni1 Ni 0.5000 0.5000 0.5000 1
Ru1 Ru 0.0000 0.0000 0.0000 1
# Space group: R-3m
# VASP energy, eV/atom: -8.1852

# TlPtBr5 | Alexandria via LeMat-Bulk | GGA-PBE | relaxed
data_TlPtBr5
_chemical_formula_sum 'Tl2 Pt2 Br10'
_cell_length_a 7.6331
_cell_length_b 7.6331
_cell_length_c 9.3153
_cell_angle_alpha 109.05
_cell_angle_beta 109.05
_cell_angle_gamma 75.97
_symmetry_space_group_name_H-M 'P 1'
_symmetry_Int_Tables_number 1
_symmetry_space_group_name_Hall 'P 1'
loop_
_atom_site_label
_atom_site_type_symbol
_atom_site_fract_x
_atom_site_fract_y
_atom_site_fract_z
_atom_site_occupancy
Tl1 Tl 0.0048 0.9952 0.7500 1
Tl2 Tl 0.9952 0.0048 0.2500 1
Pt1 Pt 0.5000 0.5000 0.0000 1
Pt2 Pt 0.5000 0.5000 0.5000 1
Br1 Br 0.1704 0.6444 0.5060 1
Br2 Br 0.1891 0.3925 0.8463 1
Br3 Br 0.3556 0.8296 0.9940 1
Br4 Br 0.3915 0.6085 0.2500 1
Br5 Br 0.3925 0.1891 0.3463 1
Br6 Br 0.6075 0.8109 0.6537 1
Br7 Br 0.6085 0.3915 0.7500 1
Br8 Br 0.6444 0.1704 0.0060 1
Br9 Br 0.8109 0.6075 0.1537 1
Br10 Br 0.8296 0.3556 0.4940 1
# Raw formation energy, meV per atom: -354
# Space group: C2/c
# VASP energy, eV/atom: -2.7499

# DyCr2GeC | Alexandria via LeMat-Bulk | GGA-PBE | relaxed
data_DyCr2GeC
_chemical_formula_sum 'Dy2 Cr4 Ge2 C2'
_cell_length_a 6.1069
_cell_length_b 6.1069
_cell_length_c 5.3655
_cell_angle_alpha 90.00
_cell_angle_beta 90.00
_cell_angle_gamma 129.24
_symmetry_space_group_name_H-M 'P 1'
_symmetry_Int_Tables_number 1
_symmetry_space_group_name_Hall 'P 1'
loop_
_atom_site_label
_atom_site_type_symbol
_atom_site_fract_x
_atom_site_fract_y
_atom_site_fract_z
_atom_site_occupancy
Dy1 Dy 0.2482 0.7518 0.7500 1
Dy2 Dy 0.7518 0.2482 0.2500 1
Cr1 Cr 0.2637 0.2637 0.0000 1
Cr2 Cr 0.2637 0.2637 0.5000 1
Cr3 Cr 0.7363 0.7363 0.0000 1
Cr4 Cr 0.7363 0.7363 0.5000 1
Ge1 Ge 0.1411 0.8589 0.2500 1
Ge2 Ge 0.8589 0.1411 0.7500 1
C1 C 0.4424 0.5576 0.2500 1
C2 C 0.5576 0.4424 0.7500 1
# Space group: Cmcm
# VASP energy, eV/atom: -7.6822

# Cs2BaSi2S6 | Alexandria via LeMat-Bulk | GGA-PBE | relaxed
data_Cs2BaSi2S6
_chemical_formula_sum 'Cs2 Ba1 Si2 S6'
_cell_length_a 9.5765
_cell_length_b 9.5765
_cell_length_c 9.5765
_cell_angle_alpha 45.37
_cell_angle_beta 45.37
_cell_angle_gamma 45.37
_symmetry_space_group_name_H-M 'P 1'
_symmetry_Int_Tables_number 1
_symmetry_space_group_name_Hall 'P 1'
loop_
_atom_site_label
_atom_site_type_symbol
_atom_site_fract_x
_atom_site_fract_y
_atom_site_fract_z
_atom_site_occupancy
Cs1 Cs 0.2108 0.2108 0.2108 1
Cs2 Cs 0.7892 0.7892 0.7892 1
Ba1 Ba 0.0000 0.0000 0.0000 1
Si1 Si 0.4182 0.4182 0.4182 1
Si2 Si 0.5818 0.5818 0.5818 1
S1 S 0.2600 0.7388 0.7388 1
S2 S 0.2612 0.2612 0.7400 1
S3 S 0.2612 0.7400 0.2612 1
S4 S 0.7388 0.2600 0.7388 1
S5 S 0.7388 0.7388 0.2600 1
S6 S 0.7400 0.2612 0.2612 1
# Raw formation energy, meV per atom: -1111
# Space group: R-3m
# VASP energy, eV/atom: -4.6785

# ZrScCr2 | Alexandria via LeMat-Bulk | GGA-PBE | relaxed
data_ZrScCr2
_chemical_formula_sum 'Zr1 Sc1 Cr2'
_cell_length_a 5.3943
_cell_length_b 5.3943
_cell_length_c 5.3943
_cell_angle_alpha 136.13
_cell_angle_beta 136.13
_cell_angle_gamma 63.78
_symmetry_space_group_name_H-M 'P 1'
_symmetry_Int_Tables_number 1
_symmetry_space_group_name_Hall 'P 1'
loop_
_atom_site_label
_atom_site_type_symbol
_atom_site_fract_x
_atom_site_fract_y
_atom_site_fract_z
_atom_site_occupancy
Zr1 Zr 0.0000 0.0000 0.0000 1
Sc1 Sc 0.7500 0.2500 0.5000 1
Cr1 Cr 0.2500 0.7500 0.5000 1
Cr2 Cr 0.5000 0.5000 0.0000 1
# Space group: I-4m2
# VASP energy, eV/atom: -8.1344

no.,total magnetic moment (Bohr magnetons per cell)
1,0.0
2,2.6
3,0.0
4,0.0
5,0.0
6,5.7